An optimized crystal structure of TeIrCl2, computed with PBE.

Unit cell a=5.3424 b=5.3424 c=3.0818 alpha=90.00 beta=90.00 gamma=113.63
Fractional coordinates of all 4 atoms:
Te 0.0000 0.0000 0.0000
Ir 0.5000 0.5000 0.0000
Cl 0.0000 0.5000 0.5000
Cl 0.5000 0.0000 0.5000

Output
formation energy (no corrections)	3.82	eV/f.u.
electronic total energy	-2.97	eV per atom
calculated volume	80.6	Å³/cell

***

An optimized crystal structure of TeIrCl, computed with PBE.

Unit cell a=7.6612 b=7.0806 c=3.9387 alpha=82.84 beta=66.49 gamma=30.67
Fractional coordinates of all 3 atoms:
Te 0.0000 0.0000 0.0000
Ir 0.3805 0.3805 0.6195
Cl 0.7607 0.7607 0.2393

Output
formation energy (no corrections)	0.53	eV/f.u.
electronic total energy	-4.44	eV per atom
calculated volume	88.4	Å³/cell